[1]
This record from Alexandria describes a relaxed structure of Li6Mg2Ga. The functional is PBE.

a b c (Å): 8.4589 8.4589 8.4589
angles (deg): 160.71 121.66 62.05
Closest atoms and distances in Å follow each position.
Sites, in units of the cell vectors:
Li 0.0023 0.8387 0.1636  4 Li 2.65-2.83
Li 0.3138 0.0000 0.3138  4 Li 2.65-2.83, 2 Ga 2.95
Li 0.3250 0.1613 0.1636  4 Li 2.65-2.83
Li 0.6750 0.8387 0.8364  4 Li 2.65-2.83
Li 0.6862 0.0000 0.6862  4 Li 2.65-2.83, 2 Ga 2.95
Li 0.9977 0.1613 0.8364  4 Li 2.65-2.83
Mg 0.3439 0.3439 0.0000  2 Mg 2.83, 10 Li 2.97-3.12
Mg 0.6561 0.6561 0.0000  2 Mg 2.83, 10 Li 2.97-3.12
Ga 0.0000 0.5000 0.5000  2 Ga 2.83, 12 Li 2.95-3.05

Properties
Total moment ... 0.00 μB/f.u.
Formation enthalpy at 0 K ... -7 kJ/mol of atoms

[2]
This record from Alexandria describes a relaxed structure of Pm2HoSc2In5. The functional is PBE.

a b c (Å): 10.6142 10.6142 4.6613
angles (deg): 90.00 90.00 90.00
Closest atoms and distances in Å follow each position.
Sites, in units of the cell vectors:
Pm 0.1790 0.3210 0.0000  3 Sc 3.04-3.22
Pm 0.3210 0.8210 0.0000  3 Sc 3.04-3.22
Pm 0.6790 0.1790 0.0000  3 Sc 3.04-3.22
Pm 0.8210 0.6790 0.0000  3 Sc 3.04-3.22
Ho 0.0000 0.0000 0.0000  8 In 3.24
Ho 0.5000 0.5000 0.0000  8 In 3.24
Sc 0.1187 0.6187 0.0000  6 In 2.93-3.07, 3 Pm 3.04-3.22
Sc 0.3813 0.1187 0.0000  6 In 2.93-3.07, 3 Pm 3.04-3.22
Sc 0.6187 0.8813 0.0000  6 In 2.93-3.07, 3 Pm 3.04-3.22
Sc 0.8813 0.3813 0.0000  6 In 2.93-3.07, 3 Pm 3.04-3.22
In 0.0000 0.5000 0.5000  4 Sc 2.93, 4 In 3.23
In 0.0637 0.7980 0.5000  2 Sc 3.07, 3 In 3.18-3.23, 2 Ho 3.24
In 0.2020 0.0637 0.5000  2 Sc 3.07, 3 In 3.18-3.23, 2 Ho 3.24
In 0.2980 0.5637 0.5000  2 Sc 3.07, 3 In 3.18-3.23, 2 Ho 3.24
In 0.4363 0.2980 0.5000  2 Sc 3.07, 3 In 3.18-3.23, 2 Ho 3.24
In 0.5000 0.0000 0.5000  4 Sc 2.93, 4 In 3.23
In 0.5637 0.7020 0.5000  2 Sc 3.07, 3 In 3.18-3.23, 2 Ho 3.24
In 0.7020 0.4363 0.5000  2 Sc 3.07, 3 In 3.18-3.23, 2 Ho 3.24
In 0.7980 0.9363 0.5000  2 Sc 3.07, 3 In 3.18-3.23, 2 Ho 3.24
In 0.9363 0.2020 0.5000  2 Sc 3.07, 3 In 3.18-3.23, 2 Ho 3.24

Properties
Total moment ... 0.00 μB/f.u.
Formation enthalpy at 0 K ... -35 kJ/mol of atoms

[3]
This record from Alexandria describes a relaxed structure of LaHo5Er2Sc. The functional is PBE.

a b c (Å): 10.2073 10.2073 10.3151
angles (deg): 90.00 90.00 148.39
Closest atoms and distances in Å follow each position.
Sites, in units of the cell vectors:
La 0.0852 0.9148 0.5000  5 Ho 3.00-3.23
La 0.9148 0.0852 0.0000  5 Ho 3.00-3.23
Ho 0.0192 0.9808 0.7871  2 La 3.00-3.23
Ho 0.1233 0.8767 0.0703  4 Er 3.51-3.55, 1 Sc 3.54, 6 Ho 3.57-3.93
Ho 0.2032 0.7968 0.7560  4 Ho 3.35-3.63, 3 Sc 3.42-3.73, 3 Er 3.49-3.61, 1 La 3.51
Ho 0.2235 0.7765 0.3719  1 La 3.02, 1 Er 3.24, 2 Ho 3.35
Ho 0.4820 0.5180 0.0711  2 La 3.16, 4 Er 3.32-3.53, 1 Sc 3.51
Ho 0.5180 0.4820 0.5711  2 La 3.16, 4 Er 3.32-3.53, 1 Sc 3.51
Ho 0.7765 0.2235 0.8719  1 La 3.02, 1 Er 3.24, 2 Ho 3.35
Ho 0.7968 0.2032 0.2560  4 Ho 3.35-3.63, 3 Sc 3.42-3.73, 3 Er 3.49-3.61, 1 La 3.51
Ho 0.8767 0.1233 0.5703  4 Er 3.51-3.55, 1 Sc 3.54, 6 Ho 3.57-3.93
Ho 0.9808 0.0192 0.2871  2 La 3.00-3.23
Er 0.3863 0.6137 0.7832  1 Sc 3.31, 7 Ho 3.39-3.64, 2 La 3.61
Er 0.3886 0.6114 0.3638  9 Ho 3.24-3.53, 1 Sc 3.52
Er 0.6114 0.3886 0.8638  9 Ho 3.24-3.53, 1 Sc 3.52
Er 0.6137 0.3863 0.2832  1 Sc 3.31, 7 Ho 3.39-3.64, 2 La 3.61
Sc 0.3035 0.6965 0.0632  2 Er 3.31-3.52, 7 Ho 3.42-3.55, 2 La 3.60
Sc 0.6965 0.3035 0.5632  2 Er 3.31-3.52, 7 Ho 3.42-3.55, 2 La 3.60

Properties
Total moment ... 0.00 μB/f.u.
Formation enthalpy at 0 K ... 18 kJ/mol of atoms

[4]
This record from Alexandria describes a relaxed structure of MgPaInHg. The functional is PBE.

a b c (Å): 5.1481 5.1481 5.1481
angles (deg): 60.00 60.00 60.00
Closest atoms and distances in Å follow each position.
Sites, in units of the cell vectors:
Mg 0.0000 0.0000 0.0000  4 Hg 3.15, 4 In 3.15
Pa 0.5000 0.5000 0.5000  4 Hg 3.15, 4 In 3.15
In 0.2500 0.2500 0.2500  4 Pa 3.15, 4 Mg 3.15
Hg 0.7500 0.7500 0.7500  4 Pa 3.15, 4 Mg 3.15

Properties
Total moment ... 0.00 μB/f.u.
Formation enthalpy at 0 K ... 0 kJ/mol of atoms

[5]
This record from Alexandria describes a relaxed structure of K2TlCdBr5. The functional is PBE.

a b c (Å): 9.2275 9.2275 9.2275
angles (deg): 145.97 130.04 61.84
Closest atoms and distances in Å follow each position.
Sites, in units of the cell vectors:
K 0.2044 0.2044 0.0000  7 Br 3.24-3.56
K 0.7956 0.7956 0.0000  7 Br 3.24-3.56
Tl 0.5000 0.0000 0.5000  10 Br 3.88-3.90
Cd 0.0000 0.5000 0.5000  6 Br 2.70-2.81
Br 0.0000 0.0000 0.0000  2 Cd 2.70
Br 0.1247 0.3727 0.7520  1 Cd 2.81
Br 0.3793 0.6273 0.7520  1 Cd 2.81
Br 0.6207 0.3727 0.2480  1 Cd 2.81
Br 0.8753 0.6273 0.2480  1 Cd 2.81

Properties
Total moment ... 0.00 μB/f.u.
Energy relative to the elements, uncorrected ... -1.204 eV/atom

[6]
This record from Alexandria describes a relaxed structure of AlTc2P. The functional is PBE.

a b c (Å): 7.9915 7.9915 7.9915
angles (deg): 20.87 20.87 20.87
Closest atoms and distances in Å follow each position.
Sites, in units of the cell vectors:
Al 0.0000 0.0000 0.0000  6 Tc 2.72, 6 Al 2.89
Tc 0.2419 0.2419 0.2419  3 P 2.43, 3 Al 2.72
Tc 0.7581 0.7581 0.7581  3 P 2.43, 3 Al 2.72
P 0.5000 0.5000 0.5000  6 Tc 2.43

Properties
Total moment ... 0.00 μB/f.u.
Formation enthalpy at 0 K ... -25 kJ/mol of atoms

What did the third record say?
This record from Alexandria describes a relaxed structure of LaHo5Er2Sc. The functional is PBE.

a b c (Å): 10.2073 10.2073 10.3151
angles (deg): 90.00 90.00 148.39
Closest atoms and distances in Å follow each position.
Sites, in units of the cell vectors:
La 0.0852 0.9148 0.5000  5 Ho 3.00-3.23
La 0.9148 0.0852 0.0000  5 Ho 3.00-3.23
Ho 0.0192 0.9808 0.7871  2 La 3.00-3.23
Ho 0.1233 0.8767 0.0703  4 Er 3.51-3.55, 1 Sc 3.54, 6 Ho 3.57-3.93
Ho 0.2032 0.7968 0.7560  4 Ho 3.35-3.63, 3 Sc 3.42-3.73, 3 Er 3.49-3.61, 1 La 3.51
Ho 0.2235 0.7765 0.3719  1 La 3.02, 1 Er 3.24, 2 Ho 3.35
Ho 0.4820 0.5180 0.0711  2 La 3.16, 4 Er 3.32-3.53, 1 Sc 3.51
Ho 0.5180 0.4820 0.5711  2 La 3.16, 4 Er 3.32-3.53, 1 Sc 3.51
Ho 0.7765 0.2235 0.8719  1 La 3.02, 1 Er 3.24, 2 Ho 3.35
Ho 0.7968 0.2032 0.2560  4 Ho 3.35-3.63, 3 Sc 3.42-3.73, 3 Er 3.49-3.61, 1 La 3.51
Ho 0.8767 0.1233 0.5703  4 Er 3.51-3.55, 1 Sc 3.54, 6 Ho 3.57-3.93
Ho 0.9808 0.0192 0.2871  2 La 3.00-3.23
Er 0.3863 0.6137 0.7832  1 Sc 3.31, 7 Ho 3.39-3.64, 2 La 3.61
Er 0.3886 0.6114 0.3638  9 Ho 3.24-3.53, 1 Sc 3.52
Er 0.6114 0.3886 0.8638  9 Ho 3.24-3.53, 1 Sc 3.52
Er 0.6137 0.3863 0.2832  1 Sc 3.31, 7 Ho 3.39-3.64, 2 La 3.61
Sc 0.3035 0.6965 0.0632  2 Er 3.31-3.52, 7 Ho 3.42-3.55, 2 La 3.60
Sc 0.6965 0.3035 0.5632  2 Er 3.31-3.52, 7 Ho 3.42-3.55, 2 La 3.60

Properties
Total moment ... 0.00 μB/f.u.
Formation enthalpy at 0 K ... 18 kJ/mol of atoms

> Which value of total moment does entry 5 give?

0.00 μB/f.u.

What did the second record say?
This record from Alexandria describes a relaxed structure of Pm2HoSc2In5. The functional is PBE.

a b c (Å): 10.6142 10.6142 4.6613
angles (deg): 90.00 90.00 90.00
Closest atoms and distances in Å follow each position.
Sites, in units of the cell vectors:
Pm 0.1790 0.3210 0.0000  3 Sc 3.04-3.22
Pm 0.3210 0.8210 0.0000  3 Sc 3.04-3.22
Pm 0.6790 0.1790 0.0000  3 Sc 3.04-3.22
Pm 0.8210 0.6790 0.0000  3 Sc 3.04-3.22
Ho 0.0000 0.0000 0.0000  8 In 3.24
Ho 0.5000 0.5000 0.0000  8 In 3.24
Sc 0.1187 0.6187 0.0000  6 In 2.93-3.07, 3 Pm 3.04-3.22
Sc 0.3813 0.1187 0.0000  6 In 2.93-3.07, 3 Pm 3.04-3.22
Sc 0.6187 0.8813 0.0000  6 In 2.93-3.07, 3 Pm 3.04-3.22
Sc 0.8813 0.3813 0.0000  6 In 2.93-3.07, 3 Pm 3.04-3.22
In 0.0000 0.5000 0.5000  4 Sc 2.93, 4 In 3.23
In 0.0637 0.7980 0.5000  2 Sc 3.07, 3 In 3.18-3.23, 2 Ho 3.24
In 0.2020 0.0637 0.5000  2 Sc 3.07, 3 In 3.18-3.23, 2 Ho 3.24
In 0.2980 0.5637 0.5000  2 Sc 3.07, 3 In 3.18-3.23, 2 Ho 3.24
In 0.4363 0.2980 0.5000  2 Sc 3.07, 3 In 3.18-3.23, 2 Ho 3.24
In 0.5000 0.0000 0.5000  4 Sc 2.93, 4 In 3.23
In 0.5637 0.7020 0.5000  2 Sc 3.07, 3 In 3.18-3.23, 2 Ho 3.24
In 0.7020 0.4363 0.5000  2 Sc 3.07, 3 In 3.18-3.23, 2 Ho 3.24
In 0.7980 0.9363 0.5000  2 Sc 3.07, 3 In 3.18-3.23, 2 Ho 3.24
In 0.9363 0.2020 0.5000  2 Sc 3.07, 3 In 3.18-3.23, 2 Ho 3.24

Properties
Total moment ... 0.00 μB/f.u.
Formation enthalpy at 0 K ... -35 kJ/mol of atoms